The following is a PBE with a Hubbard U calculation of CoGe2F6 after structural relaxation, from Alexandria via LeMat-Bulk.

a = 7.304 Å, b = 7.304 Å, c = 5.499 Å
α = 97.89°, β = 97.89°, γ = 100.19°
Element x y z (fractional)
Co 0.073 0.927 0.750
Co 0.927 0.073 0.250
Ge 0.216 0.467 0.846
Ge 0.467 0.216 0.346
Ge 0.533 0.784 0.654
Ge 0.784 0.533 0.154
F 0.061 0.656 0.835
F 0.063 0.179 0.605
F 0.179 0.063 0.105
F 0.292 0.527 0.538
F 0.344 0.939 0.665
F 0.473 0.708 0.962
F 0.527 0.292 0.038
F 0.656 0.061 0.335
F 0.708 0.473 0.462
F 0.821 0.937 0.895
F 0.937 0.821 0.395
F 0.939 0.344 0.165

total magnetic moment = 3.0 μB per formula unit
SG = No. 15
crystal system = monoclinic
uncorrected energy = -4.904 eV/atom